Record 1
{"formula": "Ac2Pr6Tm", "functional": "GGA-PBE", "state": "relaxed", "final_energy_ev_per_atom": -4.521, "m_tot_mub_per_atom": 0.00, "sg": "No. 187", "lattice": [[3.7572, 0.0000, 0.0000], [-1.8786, 3.2538, 0.0000], [0.0000, 0.0000, 27.7630]], "species": ["Ac", "Ac", "Pr", "Pr", "Pr", "Pr", "Pr", "Pr", "Tm"], "fractional_positions": [[0.0000, 0.0000, 0.1730], [0.0000, 0.0000, 0.8270], [0.0000, 0.0000, 0.3975], [0.0000, 0.0000, 0.6025], [0.6667, 0.3333, 0.0621], [0.6667, 0.3333, 0.2892], [0.6667, 0.3333, 0.7108], [0.6667, 0.3333, 0.9379], [0.6667, 0.3333, 0.5000]]}

Record 2
{"formula": "Rb2Tl2Cd3", "functional": "GGA-PBE", "state": "relaxed", "final_energy_ev_per_atom": -1.400, "m_tot_mub_per_atom": 0.00, "sg": "No. 12", "lattice": [[14.1698, 0.0000, 0.0000], [0.0000, 5.0520, 0.0000], [-6.3907, 0.0000, 7.2811]], "species": ["Rb", "Rb", "Rb", "Rb", "Tl", "Tl", "Tl", "Tl", "Cd", "Cd", "Cd", "Cd", "Cd", "Cd"], "fractional_positions": [[0.1775, 0.0000, 0.2612], [0.3225, 0.5000, 0.7388], [0.6775, 0.5000, 0.2612], [0.8225, 0.0000, 0.7388], [0.0141, 0.5000, 0.7117], [0.4859, 0.0000, 0.2883], [0.5141, 0.0000, 0.7117], [0.9859, 0.5000, 0.2883], [0.0000, 0.0000, 0.5000], [0.2045, 0.0000, 0.8985], [0.2955, 0.5000, 0.1015], [0.5000, 0.5000, 0.5000], [0.7045, 0.5000, 0.8985], [0.7955, 0.0000, 0.1015]]}

Record 3
{"formula": "Ac8Rh3I4N", "functional": "GGA-PBE", "state": "relaxed", "final_energy_ev_per_atom": -5.341, "m_tot_mub_per_atom": 0.00, "e_form_raw_ev_per_atom": -1.000, "sg": "No. 12", "lattice": [[7.4595, -4.2719, 0.0000], [7.4595, 4.2719, 0.0000], [-4.9912, 0.0000, 8.6625]], "species": ["Ac", "Ac", "Ac", "Ac", "Ac", "Ac", "Ac", "Ac", "Rh", "Rh", "Rh", "I", "I", "I", "I", "N"], "fractional_positions": [[0.2159, 0.7472, 0.6773], [0.2221, 0.2221, 0.6812], [0.2528, 0.7841, 0.3227], [0.2709, 0.2709, 0.3139], [0.7291, 0.7291, 0.6861], [0.7472, 0.2159, 0.6773], [0.7779, 0.7779, 0.3188], [0.7841, 0.2528, 0.3227], [0.0000, 0.5000, 0.5000], [0.5000, 0.0000, 0.5000], [0.5000, 0.5000, 0.5000], [0.0000, 0.0000, 0.0000], [0.0000, 0.5000, 0.0000], [0.5000, 0.0000, 0.0000], [0.5000, 0.5000, 0.0000], [0.0000, 0.0000, 0.5000]]}